AsIrAuClO | GGA-PBE | optimized geometry

Values from the calculation:
- Formation energy without anion corrections: -223 meV per atom
- V: 21.48 A^3/atom
- Theoretical density: 7.97 g cm⁻³

Cell: 3.7039 4.4240 6.7711 Å, 102.14 97.42 91.63°
Closest atoms and distances in Å follow each position.
Space group P1 (No. 1)
Unique sites:
As: 0.0000 0.0000 0.0000 [1 per cell]  1 O 1.75
Ir: 0.5214 0.3170 0.0379 [1 per cell]  2 O 2.22-2.35, 2 As 2.30-2.31, 1 Cl 2.45
Au: 0.5790 0.9842 0.6661 [1 per cell]  1 Cl 2.45, 1 As 2.56, 1 Ir 2.67
Cl: 0.5624 0.5010 0.4079 [1 per cell]  1 Ir 2.45, 1 Au 2.45
O: 0.0077 0.6176 0.0295 [1 per cell]  1 As 1.75

=====

Rb3La3RuO8 | GGA-PBE | optimized geometry

Values from the calculation:
- Formation energy without anion corrections: -2239 meV per atom
- V: 19.64 A^3/atom
- Theoretical density: 5.09 g cm⁻³

Cell: 7.1870 7.1870 19.7542 Å, 90.00 90.00 120.00°
Closest atoms and distances in Å follow each position.
Space group R-3m (No. 166, hexagonal axes)
Unique sites:
Rb: 0.0000 0.5000 0.0000 [9 per cell]  6 O 2.95-2.96
La: 0.0000 0.5000 0.5000 [9 per cell]  6 O 2.39-2.46
Ru: 0.0000 0.0000 0.5000 [3 per cell]  6 O 2.12
O: 0.0000 0.0000 0.2271 [6 per cell]  3 La 2.39
O: 0.0401 0.5200 0.2213 [18 per cell]  1 Ru 2.12

=====

TlSbS2F | GGA-PBE | optimized geometry

Values from the calculation:
- Formation energy without anion corrections: -689 meV per atom
- V: 23.43 A^3/atom
- Theoretical density: 5.80 g cm⁻³

Cell: 5.1531 5.1531 4.4112 Å, 90.00 90.00 90.00°
Closest atoms and distances in Å follow each position.
Space group P4/mmm (No. 123)
Unique sites:
Tl: 0.0000 0.0000 0.0000 [1 per cell]  8 S 3.39, 4 F 3.64
Sb: 0.5000 0.5000 0.5000 [1 per cell]  2 F 2.21
S: 0.0000 0.5000 0.5000 [2 per cell]  2 Sb 2.58
F: 0.5000 0.5000 0.0000 [1 per cell]  2 Sb 2.21

=====

Ce3Si2PtRh9 | GGA-PBE | optimized geometry

Values from the calculation:
- Formation energy without anion corrections: -488 meV per atom
- V: 19.33 A^3/atom
- Theoretical density: 9.15 g cm⁻³

Cell: 5.5383 5.5383 10.9182 Å, 90.00 90.00 120.00°
Closest atoms and distances in Å follow each position.
Space group P-3m1 (No. 164)
Unique sites:
Ce: 0.0000 0.0000 0.0000 [1 per cell]  6 Rh 2.77
Ce: 0.3333 0.6667 0.6082 [2 per cell]  6 Rh 2.91
Si: 0.3333 0.6667 0.1577 [2 per cell]  6 Rh 2.31-2.35
Pt: 0.0000 0.0000 0.5000 [1 per cell]  6 Rh 2.61
Rh: 0.0000 0.5000 0.0000 [3 per cell]  2 Si 2.35
Rh: 0.1638 0.3276 0.3085 [6 per cell]  1 Si 2.31

=====

Li2AgHF6 | GGA-PBE | optimized geometry

Values from the calculation:
- V: 12.61 A^3/atom
- Final energy: -155.534 eV/cell
- Theoretical density: 3.12 g cm⁻³

Cell: 10.2781 10.1090 5.6375 Å, 90.00 120.58 90.00°
Closest atoms and distances in Å follow each position.
Space group C2/c (No. 15)
Unique sites:
Li: 0.1282 0.0971 0.1389 [8 per cell]  4 F 1.89-1.95
Ag: 0.0000 0.4181 0.2500 [4 per cell]  2 F 2.05
H: 0.0000 0.2725 0.7500 [4 per cell]  2 F 1.16
F: 0.0750 0.2687 0.9880 [8 per cell]  1 H 1.16
F: 0.0997 0.0648 0.4406 [8 per cell]  2 Li 1.90-1.92, 1 F 2.08
F: 0.1564 0.4416 0.6594 [8 per cell]  1 Li 1.95, 1 Ag 2.05